Arrangement w

A relaxed structure of CuPt4W. Source: Alexandria via LeMat-Bulk, functional PBE-GGA.

Space-group type: C2/m (12)

Cell and atoms, written as POSCAR:
```
CuPt4W
1.0
2.6606 0.0000 0.7695
1.7855 5.8315 -1.1891
-0.4817 -3.1525 6.6497
Cu Pt W
1 4 1
direct
0.5000 0.5000 0.5000 Cu
0.8309 0.5107 0.8275 Pt
0.3264 0.0152 0.3320 Pt
0.1691 0.4893 0.1725 Pt
0.6736 0.9848 0.6680 Pt
0.0000 0.0000 0.0000 W
```

=====

Arrangement x

A relaxed structure of CuPt4W. Source: Alexandria via LeMat-Bulk, functional PBE-GGA.

Space-group type: F-43m (216)

Cell and atoms, written as POSCAR:
```
CuPt4W
1.0
0.0000 3.6638 3.6638
3.6638 0.0000 3.6638
3.6638 3.6638 0.0000
Cu Pt W
1 4 1
direct
0.0000 0.0000 0.0000 Cu
0.8750 0.3750 0.3750 Pt
0.3750 0.3750 0.8750 Pt
0.3750 0.8750 0.3750 Pt
0.3750 0.3750 0.3750 Pt
0.7500 0.7500 0.7500 W
```

=====

Most stable: arrangement w (next structure +532 meV/atom)